Model A:
Density functional theory data (PBE-GGA) for a relaxed Rb3BS3 crystal.

## Properties
As for the density of states at the Fermi level: 0.00 states/eV per cell.

abc: 10.626 6.471 13.235
angles: 90.00 105.19 90.00
Space group P2_1/c (No. 14)
Symmetry-distinct sites (fractional):
Rb: 0.024 0.209 0.359
Rb: 0.247 0.637 0.492
Rb: 0.407 0.064 0.307
B: 0.235 0.114 0.629
S: 0.094 0.216 0.125
S: 0.289 0.577 0.234
S: 0.325 0.140 0.528

***

Model B:
Density functional theory data (PBE-GGA) for a relaxed Rb3BS3 crystal.

abc: 8.4729 8.4729 12.8997
angles: 90.00 90.00 120.00
Space group R3m (No. 160, hexagonal axes)
Symmetry-distinct sites (fractional):
Rb: 0.1681 0.3363 0.0000
B: 0.0000 0.0000 0.5326
S: 0.0823 0.5412 0.1922

***

Model C:
Density functional theory data (PBE-GGA) for a relaxed Rb3BS3 crystal.

abc: 9.351 6.568 9.351
angles: 90.00 119.79 90.00
Space group P2_1/m (No. 11)
Symmetry-distinct sites (fractional):
Rb: 0.119 0.250 0.310
Rb: 0.309 0.750 0.119
Rb: 0.311 0.750 0.690
B: 0.167 0.250 0.833
S: 0.060 0.750 0.281
S: 0.280 0.250 0.060
S: 0.282 0.250 0.720

***

Which structure is the most stable? The one labeled model A.